[1]
A relaxed Mg2ScRu crystal. Source: the Alexandria database, functional GGA-PBE.

Properties
The total magnetization comes out at 0.000 μB per formula unit. As for the space group: P4mm (99). As for the energy of formation from the pure elements: -0.22 eV/atom.

```
Mg2ScRu
1.0
3.271 -0.009 0.000
0.010 3.271 0.000
0.000 0.000 7.334
Sc Mg Ru
1 2 1
direct
0.500 0.500 0.692
0.500 0.500 0.293
0.000 0.000 0.011
0.000 0.000 0.504
```


[2]
A relaxed Mg2Sc3Ru crystal. Source: the Alexandria database, functional GGA-PBE.

Properties
The total magnetization comes out at 0.000 μB per formula unit. As for the space group: Cmmm (65). As for the energy of formation from the pure elements: -0.28 eV/atom.

```
Mg2Sc3Ru
1.0
-1.794 3.507 2.606
-1.141 -2.510 6.873
6.993 2.135 1.940
Mg Sc Ru
4 6 2
direct
0.666 0.668 0.500
0.000 0.000 0.000
0.000 0.000 0.500
0.334 0.332 0.500
0.825 0.350 0.794
0.500 0.000 0.784
0.500 0.000 0.216
0.175 0.650 0.206
0.175 0.650 0.794
0.825 0.350 0.206
0.338 0.324 0.000
0.662 0.676 0.000
```


[3]
A relaxed MgSc3Ru4 crystal. Source: the Alexandria database, functional GGA-PBE.

Properties
The total magnetization comes out at 0.000 μB per formula unit. As for the space group: R-3m (166). As for the energy of formation from the pure elements: -0.36 eV/atom.

```
MgSc3Ru4
1.0
-1.342 2.312 -3.644
-1.777 -2.185 -3.535
-7.749 0.763 0.535
Sc Mg Ru
3 1 4
direct
0.748 0.748 0.756
0.500 0.500 0.500
0.252 0.252 0.244
0.000 0.000 0.000
0.875 0.875 0.374
0.625 0.625 0.126
0.125 0.125 0.626
0.375 0.375 0.874
```


[4]
A relaxed Mg2ScRu crystal. Source: the Alexandria database, functional GGA-PBE.

Properties
The total magnetization comes out at 0.001 μB per formula unit. As for the space group: Pmmm (47). As for the energy of formation from the pure elements: 0.01 eV/atom.

```
Mg2ScRu
1.0
3.100 0.000 0.000
0.000 4.234 0.000
0.000 0.000 5.604
Mg Ru Sc
2 1 1
direct
0.000 0.000 0.477
0.000 0.000 0.023
0.500 0.500 0.250
0.500 0.500 0.750
```


[5]
A relaxed Mg2ScRu crystal. Source: the Alexandria database, functional GGA-PBE.

Properties
The total magnetization comes out at 0.000 μB per formula unit. As for the space group: Fm-3m (225). As for the energy of formation from the pure elements: 0.01 eV/atom.

```
Mg2ScRu
1.0
0.000 3.303 3.303
3.303 0.000 3.303
3.303 3.303 0.000
Mg Sc Ru
2 1 1
direct
0.750 0.750 0.750
0.250 0.250 0.250
0.000 0.000 0.000
0.500 0.500 0.500
```


[6]
A relaxed Mg3Sc4Ru crystal. Source: the Alexandria database, functional GGA-PBE.

Properties
The total magnetization comes out at 0.162 μB per formula unit. As for the space group: P4/mmm (123). As for the energy of formation from the pure elements: -0.22 eV/atom.

```
Mg3Sc4Ru
1.0
3.263 0.000 0.000
0.000 3.263 0.000
0.000 0.000 16.414
Sc Ru Mg
4 1 3
direct
0.000 0.000 0.093
0.000 0.000 0.907
0.000 0.000 0.365
0.000 0.000 0.635
0.500 0.500 0.000
0.500 0.500 0.767
0.500 0.500 0.500
0.500 0.500 0.233
```